The following is a DFT calculation (PBE-GGA) of a relaxed Na3Pr3SbS8 crystal.

abc: 8.2258 8.2254 8.2404
angles: 119.96 90.00 120.00
With the nearest neighbours (Å) after each atom.
Sites, in units of the cell vectors:
S  0.2287  0.9936  0.7222  1 Sb 2.66, 2 Pr 2.88, 2 Na 2.96
S  0.7448  0.4895  0.7342  3 Pr 2.85, 3 Na 2.97
S  0.2352  0.0064  0.2778  1 Sb 2.66, 2 Pr 2.88, 2 Na 2.96
S  0.2552  0.5105  0.2658  3 Pr 2.85, 3 Na 2.97
S  0.7712  0.5425  0.2778  1 Sb 2.66, 2 Pr 2.88, 2 Na 2.96
S  0.2288  0.4575  0.7222  1 Sb 2.66, 2 Pr 2.88, 2 Na 2.96
S  0.7713  0.0064  0.2778  1 Sb 2.66, 2 Pr 2.88, 2 Na 2.96
S  0.7648  0.9936  0.7222  1 Sb 2.66, 2 Pr 2.88, 2 Na 2.96
Pr  0.5000  0.0000  0.5000  6 S 2.85-2.88
Pr  0.0000  0.5000  0.5000  6 S 2.85-2.88
Pr  0.5000  0.5000  0.5000  6 S 2.85-2.88
Sb  0.0000  0.0000  0.5000  6 S 2.66
Na  0.0000  0.5000  0.0000  6 S 2.96-2.97
Na  0.5000  0.5000  0.0000  6 S 2.96-2.97
Na  0.0000  0.0000  0.0000  6 S 2.96-2.97

**Space-group type**: R-3m
**Raw formation energy**: -21.593 eV per formula unit
**DOS(E_F)**: 1.4 states/eV/f.u.